A relaxed structure of NdHo2Rh. Source: Alexandria, functional PBE-GGA.

abc: 3.4908 3.4908 8.7346
angles: 90.00 90.00 90.00
Sites, in units of the cell vectors:
Nd1 0.0000 0.0000 0.0000
Ho1 0.5000 0.5000 0.3141
Ho2 0.5000 0.5000 0.6859
Rh1 0.0000 0.0000 0.5000

Summary:
Polymorph energy (0 for the lowest one) ... 0.28 eV per formula unit
Raw total energy ... -5.752 eV/atom

=====

A relaxed structure of Pu3Ga3Au8. Source: Alexandria, functional PBE-GGA.

abc: 8.4346 8.4346 9.1484
angles: 121.83 121.83 32.23
Sites, in units of the cell vectors:
Pu1 0.0000 0.0000 0.0000
Pu2 0.2893 0.2893 0.2777
Pu3 0.7107 0.7107 0.7223
Ga1 0.0000 0.0000 0.5000
Ga2 0.3353 0.3353 0.6802
Ga3 0.6647 0.6647 0.3198
Au1 0.1343 0.1343 0.8411
Au2 0.1413 0.1413 0.4268
Au3 0.3502 0.3502 0.9711
Au4 0.4949 0.4949 0.6642
Au5 0.5051 0.5051 0.3358
Au6 0.6498 0.6498 0.0289
Au7 0.8587 0.8587 0.5732
Au8 0.8657 0.8657 0.1589

Summary:
Raw total energy ... -6.000 eV/atom

=====

A relaxed structure of AcEr2Zn2Ga2. Source: Alexandria, functional PBE-GGA.

abc: 9.9627 9.9627 9.9627
angles: 26.15 26.15 26.15
Sites, in units of the cell vectors:
Ac1 0.0000 0.0000 0.0000
Er1 0.1304 0.1304 0.1304
Er2 0.8696 0.8696 0.8696
Zn1 0.4119 0.4119 0.4119
Zn2 0.5881 0.5881 0.5881
Ga1 0.2506 0.2506 0.2506
Ga2 0.7494 0.7494 0.7494

Summary:
Raw total energy ... -3.512 eV/atom

=====

A relaxed structure of Tm5MgSc3. Source: Alexandria, functional PBE-GGA.

abc: 9.0270 9.0270 9.4041
angles: 121.16 121.16 74.36
Sites, in units of the cell vectors:
Tm1 0.1032 0.6136 0.2533
Tm2 0.2244 0.2244 0.2342
Tm3 0.2420 0.7580 0.0000
Tm4 0.2478 0.2478 0.6029
Tm5 0.3864 0.8968 0.7467
Tm6 0.6136 0.1032 0.2533
Tm7 0.7522 0.7522 0.3971
Tm8 0.7580 0.2420 0.0000
Tm9 0.7756 0.7756 0.7658
Tm10 0.8968 0.3864 0.7467
Mg1 0.2785 0.2785 0.9642
Mg2 0.7215 0.7215 0.0358
Sc1 0.0000 0.0000 0.5000
Sc2 0.0176 0.0176 0.8269
Sc3 0.4792 0.4792 0.6364
Sc4 0.5000 0.5000 0.0000
Sc5 0.5208 0.5208 0.3636
Sc6 0.9824 0.9824 0.1731

Summary:
Raw total energy ... -4.294 eV/atom

=====

Number 1: volume 26.61 Å³/atom, ΔE_f -0.43 eV/atom, DOS(E_F) 4.6 states/eV/f.u.. Number 2: volume 20.73 Å³/atom, ΔE_f -0.41 eV/atom, DOS(E_F) 44.4 states/eV/f.u.. Number 3: volume 24.17 Å³/atom, ΔE_f -0.39 eV/atom, DOS(E_F) 4.9 states/eV/f.u.. Number 4: volume 31.17 Å³/atom, ΔE_f 0.48 eV/atom, DOS(E_F) 13.7 states/eV/f.u..